(1)
A geometry-optimized Pu2PbI structure. Source: Alexandria, functional GGA-PBE.

Lattice parameters (Å, degrees): 4.6394 4.6394 7.4358 71.82 71.82 60.00
With the nearest neighbours (Å) after each atom.
Atoms (fractional coordinates):
Pu (0.2525, 0.2525, 0.2424)  3 Pb 3.16, 3 I 3.22
Pu (0.7475, 0.7475, 0.7576)  3 Pb 3.16, 3 I 3.22
Pb (0.0000, 0.0000, 0.0000)  6 Pu 3.16
I (0.5000, 0.5000, 0.5000)  6 Pu 3.22

The density of states at the Fermi level is 25.6 states/eV per cell. For the energy above the most stable polymorph in this dataset, the calculation gives 0.1121 eV/atom. The energy relative to the elements, uncorrected comes out at -5.32 kcal/mol of atoms.

=====

(2)
A geometry-optimized InCu3Se structure. Source: Alexandria, functional GGA-PBE.

Lattice parameters (Å, degrees): 4.6794 4.6794 4.6794 90.00 90.00 90.00
With the nearest neighbours (Å) after each atom.
Atoms (fractional coordinates):
In (0.5000, 0.5000, 0.5000)  12 Cu 3.31
Cu (0.0000, 0.0000, 0.5000)  2 Se 2.34
Cu (0.5000, 0.0000, 0.0000)  2 Se 2.34
Cu (0.0000, 0.5000, 0.0000)  2 Se 2.34
Se (0.0000, 0.0000, 0.0000)  6 Cu 2.34

The density of states at the Fermi level is 1.8 states/eV per cell. For the energy above the most stable polymorph in this dataset, the calculation gives 0.0000 eV/atom. The energy relative to the elements, uncorrected comes out at 8.81 kcal/mol of atoms.

=====

(3)
A geometry-optimized Na3WS structure. Source: Alexandria, functional GGA-PBE.

Lattice parameters (Å, degrees): 5.7181 5.7181 5.7181 90.00 90.00 90.00
With the nearest neighbours (Å) after each atom.
Atoms (fractional coordinates):
Na (0.5000, 0.0000, 0.0000)  2 W 2.86
Na (0.0000, 0.5000, 0.0000)  2 W 2.86
Na (0.0000, 0.0000, 0.5000)  2 W 2.86
S (0.5000, 0.5000, 0.5000)  12 Na 4.04
W (0.0000, 0.0000, 0.0000)  6 Na 2.86

The density of states at the Fermi level is 0.0 states/eV per cell. For the energy above the most stable polymorph in this dataset, the calculation gives 0.7020 eV/atom. The energy relative to the elements, uncorrected comes out at 32.81 kcal/mol of atoms.